Here is a geometry-optimized TmMnZnO4 structure from the Alexandria database. Energies are from PBE with a Hubbard U.

Lattice parameters (Å, degrees): 6.2060 6.2060 6.2060 121.12 117.63 91.11
Last column: nearest neighbours and their distance in Å.
Atoms (fractional coordinates):
Tm  0.0000  0.0000  0.0000  6 O 2.19-2.22
Tm  0.5000  0.0000  0.5000  6 O 2.19-2.22
Mn  0.5000  0.0000  0.0000  6 O 2.00-2.07
Mn  0.5000  0.5000  0.5000  6 O 2.00-2.07
Zn  0.1314  0.3814  0.7500  4 O 1.98-2.12
Zn  0.8686  0.6186  0.2500  4 O 1.98-2.12
O  0.2695  0.2616  0.4921  1 Zn 1.98, 1 Mn 2.00, 2 Tm 2.19
O  0.2695  0.7775  0.0079  1 Zn 1.98, 1 Mn 2.00, 2 Tm 2.19
O  0.2781  0.7458  0.5324  2 Mn 2.07, 1 Zn 2.12, 1 Tm 2.22
O  0.2866  0.2542  0.0324  2 Mn 2.07, 1 Zn 2.12, 1 Tm 2.22
O  0.7134  0.7458  0.9676  2 Mn 2.07, 1 Zn 2.12, 1 Tm 2.22
O  0.7219  0.2542  0.4676  2 Mn 2.07, 1 Zn 2.12, 1 Tm 2.22
O  0.7305  0.2225  0.9921  1 Zn 1.98, 1 Mn 2.00, 2 Tm 2.19
O  0.7305  0.7384  0.5079  1 Zn 1.98, 1 Mn 2.00, 2 Tm 2.19


Here is a geometry-optimized UMnO4 structure from the Alexandria database. Energies are from PBE with a Hubbard U.

Lattice parameters (Å, degrees): 6.7508 6.8698 3.5096 90.00 90.00 90.00
Last column: nearest neighbours and their distance in Å.
Atoms (fractional coordinates):
U  0.0000  0.0000  0.0000  6 O 1.98-2.17
U  0.5000  0.5000  0.0000  6 O 1.98-2.17
Mn  0.0000  0.5000  0.5000  6 O 2.15-2.24
Mn  0.5000  0.0000  0.5000  6 O 2.15-2.24
O  0.0000  0.1870  0.5000  1 Mn 2.15, 2 U 2.17
O  0.0000  0.8130  0.5000  1 Mn 2.15, 2 U 2.17
O  0.2073  0.5000  0.0000  1 U 1.98
O  0.2927  0.0000  0.0000  1 U 1.98
O  0.5000  0.3130  0.5000  1 Mn 2.15, 2 U 2.17
O  0.5000  0.6870  0.5000  1 Mn 2.15, 2 U 2.17
O  0.7073  0.0000  0.0000  1 U 1.98
O  0.7927  0.5000  0.0000  1 U 1.98


no.,calculated total energy (eV/f.u.)
1,-47.31
2,-54.63